DFT (PBE-GGA) results for a relaxed structure of CsHgSb.

Output
Magnetic moment in μB/f.u.: 0.0
Symmetry: No. 194
Formation energy from raw total energies in eV per atom: -0.390

```
CsHgSb
1.0
4.9486 0.0000 0.0000
-2.4743 4.2856 0.0000
0.0000 0.0000 11.9131
Cs Hg Sb
2 2 2
Direct
0.0000 0.0000 0.0000 Cs
0.0000 0.0000 0.5000 Cs
0.3333 0.6667 0.2500 Hg
0.6667 0.3333 0.7500 Hg
0.3333 0.6667 0.7500 Sb
0.6667 0.3333 0.2500 Sb
```

---

DFT (PBE-GGA) results for a relaxed structure of CsHgSb3.

Output
Magnetic moment in μB/f.u.: 0.0
Symmetry: No. 221
Formation energy from raw total energies in eV per atom: 1.394

```
CsHgSb3
1.0
6.3808 0.0000 0.0000
0.0000 6.3808 0.0000
0.0000 0.0000 6.3808
Cs Hg Sb
1 1 3
Direct
0.0000 0.0000 0.0000 Cs
0.5000 0.5000 0.5000 Hg
0.0000 0.0000 0.5000 Sb
0.0000 0.5000 0.0000 Sb
0.5000 0.0000 0.0000 Sb
```